DFT (SCAN) results for K3Ta at its PBEsol-relaxed geometry.

Calculated values
* ΔH_f (0 K): 5.31 eV per formula unit
* Fermi-level density of states: 0.66 states/eV/atom

```
K3Ta
1.0
2.973 0.000 0.000
-0.991 7.462 0.000
-0.991 -3.731 6.462
K Ta
3 1
Direct
0.500 0.500 0.500 K
0.000 0.500 0.000 K
0.000 0.000 0.500 K
0.500 0.000 0.000 Ta
```

DFT (SCAN) results for KTa3 at its PBEsol-relaxed geometry.

Calculated values
* ΔH_f (0 K): 6.05 eV per formula unit
* Fermi-level density of states: 1.17 states/eV/atom

```
KTa3
1.0
4.816 0.000 0.000
2.408 4.171 0.000
2.408 1.390 3.932
Ta K
3 1
Direct
0.500 0.500 0.500 Ta
0.250 0.250 0.250 Ta
0.750 0.750 0.750 Ta
0.000 0.000 0.000 K
```

DFT (SCAN) results for KTa at its PBEsol-relaxed geometry.

Calculated values
* ΔH_f (0 K): 1.93 eV per formula unit
* Fermi-level density of states: 1.12 states/eV/atom

```
KTa
1.0
-0.628 0.700 3.210
0.732 -2.239 2.375
10.993 4.243 2.966
K Ta
2 2
Direct
0.890 0.890 0.331 K
0.110 0.110 0.669 K
0.358 0.358 0.925 Ta
0.642 0.642 0.075 Ta
```